1.
# Ta7Re6 | the Open Quantum Materials Database | PBE | relaxed
data_Ta7Re6
_cell_length_a 5.2730
_cell_length_b 5.2730
_cell_length_c 27.6526
_cell_angle_alpha 90.00
_cell_angle_beta 90.00
_cell_angle_gamma 120.00
_symmetry_space_group_name_H-M 'R -3 m'
_symmetry_Int_Tables_number 166
_symmetry_space_group_name_Hall '-R 3 2"'
loop_
_atom_site_label
_atom_site_fract_x
_atom_site_fract_y
_atom_site_fract_z
_atom_site_occupancy
Ta1 0.0000 0.0000 0.0000 1
Ta2 0.0032 0.5016 0.4132 1
Re1 0.0000 0.0000 0.1680 1
Re2 0.0000 0.0000 0.3481 1
Re3 0.0000 0.0000 0.4567 1
# DFT total energy: -11.702 eV per atom
# Spin magnetization: 0.01 μB per cell
# Calculated formation energy: 0.414 eV per atom
# Energy above the lowest structure with this stoichiometry: 593 meV per atom

---

2.
# Ta17Re12 | the Open Quantum Materials Database | PBE | relaxed
data_Ta17Re12
_cell_length_a 9.9663
_cell_length_b 9.9663
_cell_length_c 9.9663
_cell_angle_alpha 90.00
_cell_angle_beta 90.00
_cell_angle_gamma 90.00
_symmetry_space_group_name_H-M 'I -4 3 m'
_symmetry_Int_Tables_number 217
_symmetry_space_group_name_Hall 'I -4 2 3'
loop_
_atom_site_label
_atom_site_fract_x
_atom_site_fract_y
_atom_site_fract_z
_atom_site_occupancy
Ta1 0.0000 0.0000 0.0000 1
Ta2 0.0394 0.3591 0.6409 1
Ta3 0.1775 0.1775 0.1775 1
Re1 0.0915 0.0915 0.7199 1
# DFT total energy: -12.286 eV per atom
# Spin magnetization: 0.02 μB per cell
# Calculated formation energy: -0.198 eV per atom
# Energy above the lowest structure with this stoichiometry: 0 meV per atom

---

3.
# Ta2Re | the Open Quantum Materials Database | PBE | relaxed
data_Ta2Re
_cell_length_a 5.2831
_cell_length_b 5.2831
_cell_length_c 17.4431
_cell_angle_alpha 90.00
_cell_angle_beta 90.00
_cell_angle_gamma 120.00
_symmetry_space_group_name_H-M 'P 63/m m c'
_symmetry_Int_Tables_number 194
_symmetry_space_group_name_Hall '-P 6c 2c'
loop_
_atom_site_label
_atom_site_fract_x
_atom_site_fract_y
_atom_site_fract_z
_atom_site_occupancy
Ta1 0.0000 0.5000 0.0000 1
Ta2 0.1630 0.3260 0.2500 1
Ta3 0.3333 0.6667 0.1243 1
Re1 0.0000 0.0000 0.1044 1
Re2 0.3333 0.6667 0.6504 1
# DFT total energy: -11.525 eV per atom
# Spin magnetization: 0.05 μB per cell
# Calculated formation energy: 0.517 eV per atom

---

4.
# Ta2ReTc | the Open Quantum Materials Database | PBE | relaxed
data_Ta2ReTc
_cell_length_a 6.3845
_cell_length_b 6.3845
_cell_length_c 6.3845
_cell_angle_alpha 90.00
_cell_angle_beta 90.00
_cell_angle_gamma 90.00
_symmetry_space_group_name_H-M 'F m -3 m'
_symmetry_Int_Tables_number 225
_symmetry_space_group_name_Hall '-F 4 2 3'
loop_
_atom_site_label
_atom_site_fract_x
_atom_site_fract_y
_atom_site_fract_z
_atom_site_occupancy
Ta1 0.2500 0.2500 0.2500 1
Re1 0.0000 0.0000 0.0000 1
Tc1 0.0000 0.0000 0.5000 1
# DFT total energy: -12.082 eV per atom
# Spin magnetization: 0.06 μB per cell
# Calculated formation energy: -0.460 eV per atom

---

5.
# Ta2ReTc | the Open Quantum Materials Database | PBE | relaxed
data_Ta2ReTc
_cell_length_a 4.5141
_cell_length_b 4.5141
_cell_length_c 3.1922
_cell_angle_alpha 90.00
_cell_angle_beta 90.00
_cell_angle_gamma 90.00
_symmetry_space_group_name_H-M 'P 4/m m m'
_symmetry_Int_Tables_number 123
_symmetry_space_group_name_Hall '-P 4 2'
loop_
_atom_site_label
_atom_site_fract_x
_atom_site_fract_y
_atom_site_fract_z
_atom_site_occupancy
Ta1 0.0000 0.5000 0.0000 1
Re1 0.0000 0.0000 0.5000 1
Tc1 0.5000 0.5000 0.5000 1
# DFT total energy: -12.080 eV per atom
# Spin magnetization: 0.00 μB per cell
# Calculated formation energy: -0.458 eV per atom

---

6.
# Ta2ReTc | the Open Quantum Materials Database | PBE | relaxed
data_Ta2ReTc
_cell_length_a 6.3841
_cell_length_b 6.3841
_cell_length_c 6.3841
_cell_angle_alpha 90.00
_cell_angle_beta 90.00
_cell_angle_gamma 90.00
_symmetry_space_group_name_H-M 'F m -3 m'
_symmetry_Int_Tables_number 225
_symmetry_space_group_name_Hall '-F 4 2 3'
loop_
_atom_site_label
_atom_site_fract_x
_atom_site_fract_y
_atom_site_fract_z
_atom_site_occupancy
Ta1 0.2500 0.2500 0.2500 1
Re1 0.0000 0.0000 0.0000 1
Tc1 0.0000 0.0000 0.5000 1
# DFT total energy: -12.082 eV per atom
# Spin magnetization: 0.00 μB per cell
# Calculated formation energy: -0.460 eV per atom